DFT (PBE-GGA) results for a relaxed structure of Tl5PF8.

Unit cell a=7.6889 b=7.7471 c=8.0179 alpha=89.98 beta=121.46 gamma=119.90
Fractional coordinates of all 14 atoms:
Tl  0.7569  0.6251  0.8810
F  0.6129  0.8028  0.1502
Tl  0.2439  0.1183  0.3757
Tl  0.7542  0.1203  0.8752
Tl  0.9608  0.4657  0.4808
F  0.5169  0.0047  0.2632
F  0.2841  0.3513  0.6435
F  0.2832  0.9239  0.6400
F  0.3728  0.4807  0.1828
P  0.4196  0.7316  0.2105
Tl  0.2431  0.1146  0.8673
F  0.7170  0.3584  0.6602
F  0.7164  0.3543  0.0572
F  0.6183  0.7984  0.4627

As for the total energy: -4.225 eV/atom. The crystal system is triclinic. As for the density of states at the Fermi level: 0.00 states/eV/cell. For the uncorrected formation energy, the calculation gives -1.92 eV/atom. As for the space group: P1 (1).